1.
La2InPd2 (PBE-GGA, relaxed); calculated formation energy = -0.656 eV per atom; M_tot = 0.00 μB per cell; symmetry = I4/mmm (139); density = 7.446 Mg/m³
1.0
5.7352 0.0000 0.0000
0.0000 5.7352 0.0000
2.8676 2.8676 4.1051
Pd In La
2 1 2
direct
0.3421 0.3421 0.3158
0.6579 0.6579 0.6842
0.0000 0.0000 0.0000
0.7500 0.2500 0.5000
0.2500 0.7500 0.5000

2.
LaIn3Pd (PBE-GGA, relaxed); calculated formation energy = -0.309 eV per atom; M_tot = 0.00 μB per cell; excess energy over the best structure of this formula in the dataset = 0.260 eV per atom; symmetry = Pm-3m (221); density = 7.123 Mg/m³
1.0
5.1613 0.0000 0.0000
0.0000 5.1613 0.0000
0.0000 0.0000 5.1613
Pd La In
1 1 3
direct
0.0000 0.0000 0.0000
0.5000 0.5000 0.5000
0.0000 0.0000 0.5000
0.5000 0.0000 0.0000
0.0000 0.5000 0.0000

3.
LaInPd6 (PBE-GGA, relaxed); calculated formation energy = -0.427 eV per atom; M_tot = 0.00 μB per cell; excess energy over the best structure of this formula in the dataset = 0.184 eV per atom; symmetry = Pm-3 (200); density = 10.148 Mg/m³
1.0
-2.7405 -3.4982 -2.8249
4.3162 -2.9737 -0.5047
-1.2600 -2.5782 4.4150
La Pd In
1 6 1
direct
0.5000 0.5000 0.5000
0.5000 0.2460 0.0000
0.2460 0.0000 0.5000
0.7540 0.0000 0.5000
0.0000 0.5000 0.2460
0.5000 0.7540 0.0000
0.0000 0.5000 0.7540
0.0000 0.0000 0.0000

4.
La2InPd2 (PBE-GGA, relaxed); calculated formation energy = -0.846 eV per atom; M_tot = 0.00 μB per cell; symmetry = P4/mbm (127); density = 8.020 Mg/m³
1.0
3.9618 0.0000 0.0000
0.0000 7.9553 0.0000
0.0000 0.0000 7.9553
La Pd In
4 4 2
direct
0.5000 0.3244 0.1756
0.5000 0.8244 0.3244
0.5000 0.1756 0.6756
0.5000 0.6756 0.8244
0.0000 0.6283 0.1283
0.0000 0.3717 0.8717
0.0000 0.1283 0.3717
0.0000 0.8717 0.6283
0.0000 0.5000 0.5000
0.0000 0.0000 0.0000

5.
LaInPd3 (PBE-GGA, relaxed); calculated formation energy = -0.453 eV per atom; M_tot = 0.00 μB per cell; excess energy over the best structure of this formula in the dataset = 0.000 eV per atom; symmetry = Pbam (55); density = 8.244 Mg/m³
1.0
-3.2689 0.9772 4.1325
-3.7700 -6.7862 -1.3775
3.4521 -2.5967 3.3447
Pd La In
6 2 2
direct
0.0000 0.3297 0.5526
0.5000 0.5000 0.0000
0.5000 0.0000 0.5000
0.0000 0.6703 0.4474
0.0000 0.8297 0.9474
0.0000 0.1703 0.0526
0.5000 0.0000 0.0000
0.5000 0.5000 0.5000
0.0000 0.5000 0.0000
0.0000 0.0000 0.5000

6.
LaIn5Pd2 (PBE-GGA, relaxed); calculated formation energy = -0.476 eV per atom; M_tot = 0.00 μB per cell; symmetry = Immm (71); density = 8.191 Mg/m³
1.0
-1.0732 3.0269 -2.9215
-6.6974 1.8155 1.1153
-0.1584 6.2171 3.2737
La In Pd
1 5 2
direct
0.0000 0.0000 0.0000
0.0000 0.5000 0.5000
0.6508 0.1561 0.5423
0.3492 0.4577 0.8439
0.3492 0.8439 0.4577
0.6508 0.5423 0.1561
0.2556 0.2444 0.2444
0.7444 0.7556 0.7556

What is the density in the first record?
7.446 Mg/m³

What is the formula in the second record?
LaIn3Pd